1.
# TbCe2Te4

An optimized crystal structure of TbCe2Te4 (GGA-PBE, Alexandria).

The uncorrected formation energy comes out at -1.366 eV per atom. Its energy above the most stable polymorph in this dataset is 0 meV per atom.

The structure belongs to space group Imma (No. 74); the cell edges are 8.869, 8.911 and 12.417 Å and the angles 90.00°, 90.00° and 90.00°. The asymmetric unit holds Tb at (0.250, 0.250, 0.250), Ce at (0.000, 0.000, 0.000), Ce at (0.250, 0.250, 0.750), Te at (0.000, 0.006, 0.259) and Te at (0.245, 0.250, 0.497).

---

2.
# SrCu3Mo

An optimized crystal structure of SrCu3Mo (GGA-PBE, Alexandria).

Its formation energy is 68.9 kJ/mol of atoms. Its energy above the most stable polymorph in this dataset is 0 meV per atom.

The structure belongs to space group Pm-3m (No. 221); the cell edges are 4.809, 4.809 and 4.809 Å and the angles 90.00°, 90.00° and 90.00°. The asymmetric unit holds Sr at (0.000, 0.000, 0.000), Cu at (0.000, 0.500, 0.500) and Mo at (0.500, 0.500, 0.500).

---

3.
# Sr4PdO5

An optimized crystal structure of Sr4PdO5 (GGA-PBE, Alexandria).

The uncorrected formation energy comes out at -2.157 eV per atom.

The structure belongs to space group I4 (No. 79); the cell edges are 8.002, 8.002 and 5.107 Å and the angles 90.00°, 90.00° and 90.00°. The asymmetric unit holds Sr at (0.103, 0.295, 0.000), Pd at (0.000, 0.000, 0.500), O at (0.000, 0.000, 0.001) and O at (0.095, 0.293, 0.500).